# 1
11
Lattice="4.081 -6.105 0.000 4.081 6.105 0.000 -1.300 0.000 4.883" Properties=species:S:1:pos:R:3 comment="Mg8Pd2Pb | Alexandria | GGA-PBE | relaxed" relative_energy_mev_per_atom=0 total_energy_ev_per_atom=-2.733 total_magnetization_mub_per_fu=0.000 formation_enthalpy_0k_ev_per_atom=-0.29 pbc="T T T"
Mg -0.153 0.000 3.889
Mg 1.930 1.615 2.041
Mg 4.081 3.078 0.000
Mg 1.930 -1.615 2.041
Mg 4.932 1.615 2.843
Mg 4.081 -3.078 0.000
Mg 4.932 -1.615 2.843
Mg 7.015 0.000 0.994
Pd 3.431 3.850 2.442
Pd 3.431 -3.850 2.442
Pb 4.081 0.000 0.000



# 2
4
Lattice="-1.496 2.547 5.349 1.496 -2.547 5.349 1.496 2.547 -5.349" Properties=species:S:1:pos:R:3 comment="MgPd2Pb | Alexandria | GGA-PBE | relaxed" total_energy_ev_per_atom=-3.830 total_magnetization_mub_per_fu=0.000 formation_enthalpy_0k_ev_per_atom=0.09 pbc="T T T"
Mg 0.000 0.000 0.000
Pd 0.000 0.000 2.587
Pd 0.000 0.000 8.112
Pb 0.000 0.000 5.349



# 3
5
Lattice="-1.961 1.961 7.680 1.961 -1.961 7.680 1.961 1.961 -7.680" Properties=species:S:1:pos:R:3 comment="MgPd2Pb2 | Alexandria | GGA-PBE | relaxed" relative_energy_mev_per_atom=221 total_energy_ev_per_atom=-3.943 total_magnetization_mub_per_fu=0.000 formation_enthalpy_0k_ev_per_atom=-0.06 pbc="T T T"
Mg 0.000 0.000 0.000
Pd 1.961 0.000 3.840
Pd 0.000 1.961 3.840
Pb 0.000 0.000 5.883
Pb 0.000 0.000 9.476



# 4
10
Lattice="3.257 0.000 0.000 0.000 3.257 0.000 0.000 0.000 16.113" Properties=species:S:1:pos:R:3 comment="Mg4Pd5Pb | Alexandria | GGA-PBE | relaxed" total_energy_ev_per_atom=-4.225 total_magnetization_mub_per_fu=0.000 formation_enthalpy_0k_ev_per_atom=-0.62 pbc="T T T"
Mg 0.000 0.000 1.538
Mg 0.000 0.000 4.610
Mg 0.000 0.000 11.503
Mg 0.000 0.000 14.575
Pd 1.629 1.629 0.000
Pd 1.629 1.629 3.055
Pd 1.629 1.629 6.096
Pd 1.629 1.629 10.017
Pd 1.629 1.629 13.058
Pb 0.000 0.000 8.057



# 5
8
Lattice="-2.106 2.106 9.230 2.106 -2.106 9.230 2.106 2.106 -9.230" Properties=species:S:1:pos:R:3 comment="MgPd2Pb | Alexandria | GGA-PBE | relaxed" total_energy_ev_per_atom=-4.026 total_magnetization_mub_per_fu=0.000 formation_enthalpy_0k_ev_per_atom=-0.10 pbc="T T T"
Mg 0.000 0.000 0.000
Mg 0.000 2.106 4.615
Pd 3.159 0.987 -2.307
Pd 0.987 1.053 2.307
Pd -1.053 1.119 6.922
Pd 1.119 1.053 11.537
Pb 2.106 0.000 4.615
Pb 0.000 0.000 9.230



# 6
6
Lattice="2.454 -4.396 0.000 2.454 4.396 0.000 -1.245 0.000 4.736" Properties=species:S:1:pos:R:3 comment="MgPd4Pb | Alexandria | GGA-PBE | relaxed" relative_energy_mev_per_atom=3 total_energy_ev_per_atom=-4.727 total_magnetization_mub_per_fu=0.000 formation_enthalpy_0k_ev_per_atom=-0.38 pbc="T T T"
Mg 0.000 0.000 0.000
Pd 1.832 2.959 2.368
Pd 2.454 1.465 0.000
Pd 2.454 -1.465 0.000
Pd 1.832 -2.959 2.368
Pb 1.832 0.000 2.368



# 7
18
Lattice="-4.374 4.377 5.019 4.374 -4.377 5.019 4.374 4.377 -5.019" Properties=species:S:1:pos:R:3 comment="Mg6Pd2Pb | Alexandria | GGA-PBE | relaxed" total_energy_ev_per_atom=-2.977 total_magnetization_mub_per_fu=0.000 formation_enthalpy_0k_ev_per_atom=-0.35 pbc="T T T"
Mg 4.374 2.508 -2.528
Mg 2.615 1.625 0.000
Mg 6.134 1.625 0.000
Mg 1.685 4.377 -1.610
Mg 2.690 0.000 3.409
Mg 0.000 1.869 2.491
Mg 4.374 2.508 2.528
Mg 1.685 4.377 1.610
Mg 2.690 0.000 6.629
Mg -1.760 2.752 5.019
Mg 1.760 2.752 5.019
Mg 0.000 1.869 7.547
Pd 4.374 0.000 1.391
Pd 0.000 2.881 0.000
Pd 0.000 5.873 0.000
Pd 0.000 4.377 3.628
Pb 0.000 0.000 0.000
Pb 0.000 0.000 5.019



# 8
6
Lattice="3.265 0.000 0.000 0.000 3.265 0.000 0.000 0.000 9.979" Properties=species:S:1:pos:R:3 comment="Mg2Pd3Pb | Alexandria | GGA-PBE | relaxed" total_energy_ev_per_atom=-4.285 total_magnetization_mub_per_fu=0.000 formation_enthalpy_0k_ev_per_atom=-0.54 pbc="T T T"
Mg 0.000 0.000 1.545
Mg 0.000 0.000 8.434
Pd 1.633 1.633 0.000
Pd 1.633 1.633 3.035
Pd 1.633 1.633 6.944
Pb 0.000 0.000 4.989



# 9
16
Lattice="6.008 0.000 0.000 0.000 12.634 0.000 0.000 0.000 4.746" Properties=species:S:1:pos:R:3 comment="Mg5PdPb2 | Alexandria | GGA-PBE | relaxed" total_energy_ev_per_atom=-2.771 total_magnetization_mub_per_fu=0.000 formation_enthalpy_0k_ev_per_atom=-0.20 pbc="T T T"
Mg 0.000 0.000 0.000
Mg 0.272 3.598 0.000
Mg 1.065 7.423 2.373
Mg 1.939 1.106 2.373
Mg 2.732 9.915 0.000
Mg 3.004 6.317 0.000
Mg 3.276 2.719 0.000
Mg 4.070 11.528 2.373
Mg 4.943 5.211 2.373
Mg 5.736 9.036 0.000
Pd 0.000 6.317 0.000
Pd 3.004 0.000 0.000
Pb 1.000 10.722 2.373
Pb 2.005 4.405 2.373
Pb 4.004 8.229 2.373
Pb 5.009 1.912 2.373



# 10
16
Lattice="6.203 0.000 0.000 0.000 12.159 0.000 0.000 0.000 4.156" Properties=species:S:1:pos:R:3 comment="Mg5Pd2Pb | Alexandria | GGA-PBE | relaxed" total_energy_ev_per_atom=-3.098 total_magnetization_mub_per_fu=0.000 formation_enthalpy_0k_ev_per_atom=-0.34 pbc="T T T"
Mg 0.000 0.000 0.000
Mg 0.262 3.119 0.000
Mg 1.459 7.616 2.078
Mg 1.642 1.536 2.078
Mg 2.839 9.199 0.000
Mg 3.102 6.079 0.000
Mg 3.364 2.960 0.000
Mg 4.561 10.623 2.078
Mg 4.744 4.543 2.078
Mg 5.941 9.040 0.000
Pd 1.128 10.448 2.078
Pd 1.973 4.368 2.078
Pd 4.230 7.790 2.078
Pd 5.075 1.711 2.078
Pb 0.000 6.079 0.000
Pb 3.102 0.000 0.000



# 11
12
Lattice="6.408 -2.535 0.000 6.408 2.535 0.000 -5.406 0.000 7.448" Properties=species:S:1:pos:R:3 comment="Mg7Pd4Pb | Alexandria | GGA-PBE | relaxed" total_energy_ev_per_atom=-3.279 total_magnetization_mub_per_fu=0.000 formation_enthalpy_0k_ev_per_atom=-0.31 pbc="T T T"
Mg 0.000 0.000 0.000
Mg -0.980 0.000 4.694
Mg 2.931 0.000 0.911
Mg 2.243 0.000 4.619
Mg 5.168 0.000 2.829
Mg 4.480 0.000 6.536
Mg 8.391 0.000 2.754
Pd -3.362 0.000 5.733
Pd 0.658 0.000 2.578
Pd 6.753 0.000 4.870
Pd 10.773 0.000 1.715
Pb 6.408 0.000 0.000



# 12
6
Lattice="0.000 3.802 3.802 3.802 0.000 3.802 3.802 3.802 0.000" Properties=species:S:1:pos:R:3 comment="MgPd4Pb | Alexandria | GGA-PBE | relaxed" relative_energy_mev_per_atom=111 total_energy_ev_per_atom=-4.620 total_magnetization_mub_per_fu=0.000 formation_enthalpy_0k_ev_per_atom=-0.27 pbc="T T T"
Mg 0.000 0.000 0.000
Pd 4.754 2.850 2.850
Pd 2.850 4.754 2.850
Pd 2.850 2.850 4.754
Pd 4.754 4.754 4.754
Pb 1.901 1.901 1.901



# 13
19
Lattice="6.659 -3.825 0.000 6.659 3.825 0.000 -1.578 0.000 7.132" Properties=species:S:1:pos:R:3 comment="Mg2Pd12Pb5 | Alexandria | GGA-PBE | relaxed" total_energy_ev_per_atom=-4.655 total_magnetization_mub_per_fu=0.000 formation_enthalpy_0k_ev_per_atom=-0.23 pbc="T T T"
Mg 6.659 2.361 0.000
Mg 6.659 -2.361 0.000
Pd -0.715 0.000 5.048
Pd 3.852 1.592 2.197
Pd 3.898 1.356 5.096
Pd 5.575 0.000 0.735
Pd 7.843 1.356 2.036
Pd 7.889 1.592 4.936
Pd 3.852 -1.592 2.197
Pd 3.898 -1.356 5.096
Pd 6.166 0.000 6.398
Pd 7.843 -1.356 2.036
Pd 7.889 -1.592 4.936
Pd 12.456 0.000 2.084
Pb 1.708 0.000 3.230
Pb 1.520 0.000 6.808
Pb 5.870 0.000 3.566
Pb 10.221 0.000 0.325
Pb 10.032 0.000 3.902



# 14
4
Lattice="1.664 0.960 9.065 -1.664 0.960 9.065 0.000 -1.921 9.065" Properties=species:S:1:pos:R:3 comment="Mg2PdPb | Alexandria | GGA-PBE | relaxed" total_energy_ev_per_atom=-3.285 total_magnetization_mub_per_fu=0.000 formation_enthalpy_0k_ev_per_atom=-0.26 pbc="T T T"
Mg 0.000 0.000 0.000
Mg 0.000 0.000 5.295
Pd 0.000 0.000 16.246
Pb 0.000 0.000 11.723



# 15
11
Lattice="4.703 0.000 0.000 -0.007 6.787 0.000 -2.322 -3.369 7.171" Properties=species:S:1:pos:R:3 comment="Mg8Pd2Pb | Alexandria | GGA-PBE | relaxed" relative_energy_mev_per_atom=8 total_energy_ev_per_atom=-2.726 total_magnetization_mub_per_fu=0.000 formation_enthalpy_0k_ev_per_atom=-0.28 pbc="T T T"
Mg 0.000 0.000 0.000
Mg -0.013 3.789 0.548
Mg 0.008 -0.932 2.986
Mg -0.003 3.143 4.752
Mg 0.009 -0.879 6.439
Mg 2.352 0.429 1.740
Mg 2.341 3.404 2.306
Mg 2.338 1.295 4.727
Pd 0.000 1.736 2.438
Pd 0.020 1.756 7.072
Pb 2.360 -1.637 4.732



# 16
10
Lattice="7.061 0.000 0.000 0.000 7.061 0.000 0.000 0.000 4.784" Properties=species:S:1:pos:R:3 comment="Mg2PdPb2 | Alexandria | GGA-PBE | relaxed" relative_energy_mev_per_atom=0 total_energy_ev_per_atom=-3.249 total_magnetization_mub_per_fu=0.000 formation_enthalpy_0k_ev_per_atom=-0.09 pbc="T T T"
Mg 1.085 2.445 0.000
Mg 2.445 5.976 0.000
Mg 4.616 1.085 0.000
Mg 5.976 4.616 0.000
Pd 0.000 0.000 0.000
Pd 3.531 3.531 0.000
Pb 1.189 4.720 2.392
Pb 2.341 1.189 2.392
Pb 4.720 5.872 2.392
Pb 5.872 2.341 2.392



# 17
10
Lattice="8.138 0.000 0.000 0.000 8.138 0.000 0.000 0.000 3.347" Properties=species:S:1:pos:R:3 comment="MgPd2Pb2 | Alexandria | GGA-PBE | relaxed" relative_energy_mev_per_atom=168 total_energy_ev_per_atom=-3.996 total_magnetization_mub_per_fu=0.000 formation_enthalpy_0k_ev_per_atom=-0.12 pbc="T T T"
Mg 0.000 0.000 0.000
Mg 4.069 4.069 0.000
Pd 1.169 2.900 1.674
Pd 2.900 6.969 1.674
Pd 5.238 1.169 1.674
Pd 6.969 5.238 1.674
Pb 1.228 5.297 0.000
Pb 2.841 1.228 0.000
Pb 5.297 6.910 0.000
Pb 6.910 2.841 0.000



# 18
4
Lattice="2.178 1.258 4.836 -2.178 1.258 4.836 0.000 -2.515 4.836" Properties=species:S:1:pos:R:3 comment="MgPd2Pb | Alexandria | GGA-PBE | relaxed" total_energy_ev_per_atom=-4.238 total_magnetization_mub_per_fu=0.000 formation_enthalpy_0k_ev_per_atom=-0.32 pbc="T T T"
Mg 0.000 0.000 0.000
Pd 0.000 0.000 5.468
Pd 0.000 0.000 8.521
Pb 0.000 0.000 11.670



# 19
5
Lattice="4.873 0.000 0.000 0.000 4.873 0.000 0.000 0.000 5.149" Properties=species:S:1:pos:R:3 comment="Mg2PdPtPb | Alexandria | GGA-PBE | relaxed" total_energy_ev_per_atom=-3.658 total_magnetization_mub_per_fu=0.000 formation_enthalpy_0k_ev_per_atom=-0.03 pbc="T T T"
Mg 0.000 2.436 0.000
Mg 2.436 0.000 0.000
Pd 0.000 0.000 2.574
Pt 0.000 0.000 0.000
Pb 2.436 2.436 2.574



# 20
4
Lattice="0.000 3.588 3.588 3.588 0.000 3.588 3.588 3.588 0.000" Properties=species:S:1:pos:R:3 comment="PuMgPdPb | Alexandria | GGA-PBE | relaxed" total_energy_ev_per_atom=-6.440 total_magnetization_mub_per_fu=5.550 formation_enthalpy_0k_ev_per_atom=-0.23 pbc="T T T"
Pu 0.000 0.000 0.000
Mg 3.588 3.588 3.588
Pd 1.794 1.794 1.794
Pb 5.381 5.381 5.381